No. 1
# GGA-PBE KPuPb2O8, relaxed
# Total magnetization (μB per cell): 1.0
# Energy (eV per atom): -6.62
# DOS(E_F) (states/eV/atom): 0.0536
# Crystal system: monoclinic
data_KPuPb2O8
_space_group_name_H-M_alt 'P 1'
_space_group_IT_number 1
_cell_length_a 5.3640
_cell_length_b 5.3394
_cell_length_c 6.8330
_cell_angle_alpha 90.00
_cell_angle_beta 90.00
_cell_angle_gamma 88.56
loop_
_space_group_symop_operation_xyz
'x,y,z'
loop_
_atom_site_label
_atom_site_fract_x
_atom_site_fract_y
_atom_site_fract_z
K1 0.0000 0.0000 0.5000
Pu1 0.0000 0.0000 0.0000
Pb1 0.5000 0.5000 0.7496
Pb2 0.5000 0.5000 0.2504
O1 0.1811 0.8137 0.1923
O2 0.6856 0.6901 0.0000
O3 0.8189 0.1863 0.1923
O4 0.8189 0.1863 0.8077
O5 0.3144 0.3099 0.0000
O6 0.1811 0.8137 0.8077
O7 0.6689 0.6829 0.5000
O8 0.3311 0.3171 0.5000


No. 2
# GGA-PBE LiGe2Pt2, relaxed
# Total magnetization (μB per cell): 0.0
# Energy (eV per atom): -5.03
# E_form (eV/f.u.): -1.9
# DOS(E_F) (states/eV/atom): 0.5106
# Crystal system: tetragonal
# Energy above the most stable polymorph in this dataset (eV/f.u.): 0.66
data_LiGe2Pt2
_space_group_name_H-M_alt 'P 1'
_space_group_IT_number 1
_cell_length_a 7.3122
_cell_length_b 7.3122
_cell_length_c 3.1278
_cell_angle_alpha 90.00
_cell_angle_beta 90.00
_cell_angle_gamma 90.00
loop_
_space_group_symop_operation_xyz
'x,y,z'
loop_
_atom_site_label
_atom_site_fract_x
_atom_site_fract_y
_atom_site_fract_z
Ge1 0.1580 0.6580 0.5000
Ge2 0.6580 0.8420 0.5000
Ge3 0.8420 0.3420 0.5000
Ge4 0.3420 0.1580 0.5000
Pt1 0.3576 0.8576 0.0000
Pt2 0.8576 0.6424 0.0000
Pt3 0.6424 0.1424 0.0000
Pt4 0.1424 0.3576 0.0000
Li1 0.0000 0.0000 0.0000
Li2 0.5000 0.5000 0.0000


No. 3
# GGA-PBE Ti2CrGe3, relaxed
# Total magnetization (μB per cell): 4.7
# Energy (eV per atom): -6.79
# E_form (eV/f.u.): -1.4
# DOS(E_F) (states/eV/atom): 0.6912
# Crystal system: monoclinic
data_Ti2CrGe3
_space_group_name_H-M_alt 'P 1'
_space_group_IT_number 1
_cell_length_a 6.8179
_cell_length_b 6.7471
_cell_length_c 6.7471
_cell_angle_alpha 135.08
_cell_angle_beta 100.62
_cell_angle_gamma 100.62
loop_
_space_group_symop_operation_xyz
'x,y,z'
loop_
_atom_site_label
_atom_site_fract_x
_atom_site_fract_y
_atom_site_fract_z
Ti1 0.2500 0.9264 0.0736
Ti2 0.2500 0.2322 0.7678
Ti3 0.7500 0.0736 0.9264
Ti4 0.7500 0.7678 0.2322
Cr1 0.2500 0.5914 0.4086
Cr2 0.7500 0.4086 0.5914
Ge1 0.0288 0.2255 0.3880
Ge2 0.5288 0.3880 0.2255
Ge3 0.0000 0.5000 0.0000
Ge4 0.9712 0.7745 0.6120
Ge5 0.5000 0.0000 0.5000
Ge6 0.4712 0.6120 0.7745


No. 4
# GGA-PBE Li4AsPd7, relaxed
# Total magnetization (μB per cell): 0.0
# Energy (eV per atom): -4.39
# E_form (eV/f.u.): -4.0
# DOS(E_F) (states/eV/atom): 0.4428
# Crystal system: triclinic
# Energy above the most stable polymorph in this dataset (eV/f.u.): 0.00
data_Li4AsPd7
_space_group_name_H-M_alt 'P 1'
_space_group_IT_number 1
_cell_length_a 4.9197
_cell_length_b 6.9708
_cell_length_c 6.8944
_cell_angle_alpha 57.94
_cell_angle_beta 68.41
_cell_angle_gamma 90.08
loop_
_space_group_symop_operation_xyz
'x,y,z'
loop_
_atom_site_label
_atom_site_fract_x
_atom_site_fract_y
_atom_site_fract_z
Li1 0.5548 0.5963 0.2614
Li2 0.4452 0.4037 0.7386
Li3 0.7823 0.8170 0.7557
Li4 0.2177 0.1830 0.2443
As1 0.0000 0.0000 0.0000
Pd1 0.8552 0.3704 0.9519
Pd2 0.1448 0.6296 0.0481
Pd3 0.0630 0.2885 0.5688
Pd4 0.9370 0.7115 0.4312
Pd5 0.3669 0.8069 0.5404
Pd6 0.5000 0.0000 0.0000
Pd7 0.6331 0.1931 0.4596


No. 5
# GGA-PBE PrHoPu, relaxed
# Total magnetization (μB per cell): 6.3
# Energy (eV per atom): -7.75
# E_form (eV/f.u.): 0.4
# DOS(E_F) (states/eV/atom): 2.8410
# Crystal system: trigonal
# Energy above the most stable polymorph in this dataset (eV/f.u.): 0.04
data_PrHoPu
_space_group_name_H-M_alt 'P 1'
_space_group_IT_number 1
_cell_length_a 3.5715
_cell_length_b 3.5715
_cell_length_c 8.6269
_cell_angle_alpha 90.00
_cell_angle_beta 90.00
_cell_angle_gamma 120.00
loop_
_space_group_symop_operation_xyz
'x,y,z'
loop_
_atom_site_label
_atom_site_fract_x
_atom_site_fract_y
_atom_site_fract_z
Pr1 0.0000 0.0000 0.0023
Ho1 0.3333 0.6667 0.6600
Pu1 0.6667 0.3333 0.3378


No. 6
# GGA-PBE MgNpBi2, relaxed
# Total magnetization (μB per cell): 3.5
# Energy (eV per atom): -5.51
# E_form (eV/f.u.): 0.3
# DOS(E_F) (states/eV/atom): 2.7195
# Crystal system: trigonal
# Energy above the most stable polymorph in this dataset (eV/f.u.): 0.50
data_MgNpBi2
_space_group_name_H-M_alt 'P 1'
_space_group_IT_number 1
_cell_length_a 4.5782
_cell_length_b 4.5782
_cell_length_c 7.2864
_cell_angle_alpha 71.69
_cell_angle_beta 71.69
_cell_angle_gamma 60.00
loop_
_space_group_symop_operation_xyz
'x,y,z'
loop_
_atom_site_label
_atom_site_fract_x
_atom_site_fract_y
_atom_site_fract_z
Np1 0.5000 0.5000 0.5000
Mg1 0.0000 0.0000 0.0000
Bi1 0.2528 0.2528 0.2417
Bi2 0.7472 0.7472 0.7583


No. 7
# GGA-PBE Sm2DyTm6Sc3, relaxed
# Total magnetization (μB per cell): 0.0
# Energy (eV per atom): -4.94
# E_form (eV/f.u.): 0.5
# DOS(E_F) (states/eV/atom): 1.5027
# Crystal system: monoclinic
data_Sm2DyTm6Sc3
_space_group_name_H-M_alt 'P 1'
_space_group_IT_number 1
_cell_length_a 6.0113
_cell_length_b 6.0113
_cell_length_c 11.4117
_cell_angle_alpha 95.03
_cell_angle_beta 95.03
_cell_angle_gamma 119.97
loop_
_space_group_symop_operation_xyz
'x,y,z'
loop_
_atom_site_label
_atom_site_fract_x
_atom_site_fract_y
_atom_site_fract_z
Sm1 0.3333 0.6667 0.0000
Sm2 0.6667 0.3333 0.0000
Dy1 0.0000 0.0000 0.0000
Tm1 0.9132 0.5801 0.7399
Tm2 0.7538 0.7538 0.2602
Tm3 0.0868 0.4199 0.2601
Tm4 0.5801 0.9132 0.7399
Tm5 0.2462 0.2462 0.7398
Tm6 0.4199 0.0868 0.2601
Sc1 0.1666 0.8334 0.5000
Sc2 0.8334 0.1666 0.5000
Sc3 0.5000 0.5000 0.5000


No. 8
# GGA-PBE Sc4PO, relaxed
# Total magnetization (μB per cell): 0.0
# Energy (eV per atom): -7.18
# DOS(E_F) (states/eV/atom): 0.9445
# Crystal system: monoclinic
data_Sc4PO
_space_group_name_H-M_alt 'P 1'
_space_group_IT_number 1
_cell_length_a 4.9725
_cell_length_b 7.5189
_cell_length_c 7.6433
_cell_angle_alpha 108.56
_cell_angle_beta 90.00
_cell_angle_gamma 109.31
loop_
_space_group_symop_operation_xyz
'x,y,z'
loop_
_atom_site_label
_atom_site_fract_x
_atom_site_fract_y
_atom_site_fract_z
Sc1 0.0527 0.1053 0.3711
Sc2 0.1636 0.3271 0.9759
Sc3 0.7234 0.4468 0.3186
Sc4 0.6057 0.2114 0.6816
Sc5 0.3943 0.7886 0.3184
Sc6 0.2766 0.5532 0.6814
Sc7 0.8364 0.6729 0.0241
Sc8 0.9473 0.8947 0.6289
P1 0.2172 0.4343 0.3244
P2 0.7828 0.5657 0.6756
O1 0.1082 0.2163 0.6821
O2 0.8918 0.7837 0.3179